3
Lattice="4.9272 0.0000 0.0000 -2.4636 4.2671 0.0000 0.0000 0.0000 4.5660" Properties=species:S:1:pos:R:3 comment="AcGdGe, relaxed, DFT PBE-GGA" relative_energy_ev_per_atom=0.026 e_form_ev_per_atom=-0.417 pbc="T T T"
Ac 0.0000 0.0000 0.0000
Gd 2.4636 1.4224 2.2990
Ge 0.0000 2.8447 2.2023